Below is an optimized crystal structure of Na4ThNp3Se8, with properties calculated at the PBE-GGA level.

Its calculated volume is 429.7 Å³/cell. The uncorrected formation energy is -1286 meV/atom. The value obtained for the final energy is -99.976 eV per cell.

Cell lengths 8.411, 8.532, 8.411 Å; angles 119.56, 120.00, 90.00 degrees
Each line ends with the local moment (μB).
Element x y z (fractional)
Na1 0.500 0.000 0.000  0.00
Na2 0.500 0.000 0.500  0.00
Na3 0.000 0.000 0.000  0.00
Na4 0.000 0.000 0.500  0.00
Th1 0.000 0.500 0.000  0.22
Np1 0.500 0.500 0.000  4.05
Np2 0.500 0.500 0.500  4.05
Np3 0.000 0.500 0.500  4.05
Se1 0.245 0.736 0.991  -0.04
Se2 0.245 0.736 0.491  -0.04
Se3 0.257 0.271 0.514  -0.08
Se4 0.746 0.736 0.991  -0.04
Se5 0.254 0.264 0.009  -0.04
Se6 0.743 0.729 0.486  -0.08
Se7 0.755 0.264 0.509  -0.04
Se8 0.755 0.264 0.009  -0.04

=====

Below is an optimized crystal structure of Na4NpTi3Se8, with properties calculated at the PBE-GGA level.

Its calculated volume is 364.2 Å³/cell. The uncorrected formation energy is -1168 meV/atom. The value obtained for the final energy is -88.462 eV per cell.

Cell lengths 7.729, 8.336, 7.729 Å; angles 117.63, 120.00, 90.00 degrees
Each line ends with the local moment (μB).
Element x y z (fractional)
Na1 0.500 0.000 0.000  0.00
Na2 0.500 0.000 0.500  0.00
Na3 0.000 0.000 0.000  0.00
Na4 0.000 0.000 0.500  0.00
Np1 0.000 0.500 0.000  3.70
Ti1 0.500 0.500 0.000  0.98
Ti2 0.500 0.500 0.500  0.98
Ti3 0.000 0.500 0.500  0.98
Se1 0.249 0.720 0.971  -0.06
Se2 0.249 0.720 0.497  -0.06
Se3 0.264 0.291 0.527  -0.03
Se4 0.723 0.720 0.971  -0.06
Se5 0.277 0.280 0.029  -0.06
Se6 0.736 0.709 0.473  -0.03
Se7 0.751 0.280 0.503  -0.06
Se8 0.751 0.280 0.029  -0.06

=====

Below is an optimized crystal structure of Na3NpTi2Se6, with properties calculated at the PBE-GGA level.

Its calculated volume is 277.9 Å³/cell. The uncorrected formation energy is -1174 meV/atom. The value obtained for the final energy is -67.685 eV per cell.

Cell lengths 6.766, 6.766, 7.385 Å; angles 98.84, 98.84, 120.22 degrees
Each line ends with the local moment (μB).
Element x y z (fractional)
Na1 0.161 0.839 0.500  0.00
Na2 0.839 0.161 0.500  0.00
Na3 0.500 0.500 0.500  0.00
Np1 0.000 0.000 0.000  3.77
Ti1 0.330 0.670 0.000  0.98
Ti2 0.670 0.330 0.000  0.98
Se1 0.926 0.572 0.780  -0.06
Se2 0.718 0.718 0.216  -0.05
Se3 0.074 0.428 0.220  -0.06
Se4 0.572 0.926 0.780  -0.06
Se5 0.282 0.282 0.784  -0.05
Se6 0.428 0.074 0.220  -0.06

=====

Below is an optimized crystal structure of Na3Np3TiSe8, with properties calculated at the PBE-GGA level.

Its calculated volume is 407.6 Å³/cell. The uncorrected formation energy is -1155 meV/atom. The value obtained for the final energy is -95.873 eV per cell.

Cell lengths 8.159, 8.145, 8.490 Å; angles 118.47, 90.00, 120.06 degrees
Each line ends with the local moment (μB).
Element x y z (fractional)
Na1 0.000 0.000 0.000  0.00
Na2 0.000 0.500 0.000  0.00
Na3 0.500 0.500 0.000  0.00
Np1 0.500 0.000 0.500  -3.70
Np2 0.500 0.500 0.500  3.73
Np3 0.000 0.500 0.500  3.73
Ti1 0.000 0.000 0.500  0.50
Se1 0.254 0.507 0.264  -0.03
Se2 0.746 0.493 0.736  -0.03
Se3 0.772 0.544 0.284  -0.08
Se4 0.228 0.456 0.716  -0.08
Se5 0.774 0.011 0.284  -0.01
Se6 0.226 0.989 0.716  -0.01
Se7 0.237 0.011 0.284  -0.01
Se8 0.763 0.989 0.716  -0.01

=====

Below is an optimized crystal structure of Na2Np2TiSe6, with properties calculated at the PBE-GGA level.

Its calculated volume is 293.3 Å³/cell. The uncorrected formation energy is -1164 meV/atom. The value obtained for the final energy is -70.126 eV per cell.

Cell lengths 6.892, 6.892, 7.470 Å; angles 99.08, 99.08, 119.49 degrees
Each line ends with the local moment (μB).
Element x y z (fractional)
Na1 0.829 0.171 0.000  0.00
Na2 0.171 0.829 0.000  0.00
Np1 0.334 0.666 0.500  3.68
Np2 0.666 0.334 0.500  3.68
Ti1 0.000 0.000 0.500  0.80
Se1 0.765 0.765 0.720  -0.09
Se2 0.076 0.389 0.721  -0.09
Se3 0.235 0.235 0.280  -0.09
Se4 0.389 0.076 0.721  -0.09
Se5 0.924 0.611 0.279  -0.09
Se6 0.611 0.924 0.279  -0.09

=====

Below is an optimized crystal structure of NaNp2Tl3Se6, with properties calculated at the PBE-GGA level.

Its calculated volume is 356.1 Å³/cell. The uncorrected formation energy is -892 meV/atom. The value obtained for the final energy is -65.916 eV per cell.

Cell lengths 7.305, 7.305, 8.058 Å; angles 98.56, 98.56, 119.85 degrees
Each line ends with the local moment (μB).
Element x y z (fractional)
Na1 0.000 0.000 0.000  0.00
Np1 0.332 0.668 0.000  -3.39
Np2 0.668 0.332 0.000  -3.39
Tl1 0.158 0.842 0.500  0.01
Tl2 0.842 0.158 0.500  0.01
Tl3 0.500 0.500 0.500  0.01
Se1 0.930 0.570 0.791  0.11
Se2 0.709 0.709 0.199  0.11
Se3 0.070 0.430 0.209  0.11
Se4 0.570 0.930 0.791  0.11
Se5 0.291 0.291 0.801  0.11
Se6 0.430 0.070 0.209  0.11

=====

Below is an optimized crystal structure of Na2NpTlSe4, with properties calculated at the PBE-GGA level.

Its calculated volume is 224.0 Å³/cell. The uncorrected formation energy is -924 meV/atom. The value obtained for the final energy is -39.278 eV per cell.

Cell lengths 4.230, 7.245, 7.801 Å; angles 69.54, 90.00, 90.00 degrees
Each line ends with the local moment (μB).
Element x y z (fractional)
Na1 0.000 0.000 0.000  0.00
Na2 0.500 0.000 0.500  0.00
Np1 0.000 0.500 0.500  2.94
Tl1 0.500 0.500 0.000  -0.05
Se1 0.000 0.729 0.707  -0.16
Se2 0.000 0.271 0.293  -0.16
Se3 0.500 0.729 0.280  -0.12
Se4 0.500 0.271 0.720  -0.12

=====

Below is an optimized crystal structure of NaNpTl2Se4, with properties calculated at the PBE-GGA level.

Its calculated volume is 235.0 Å³/cell. The uncorrected formation energy is -800 meV/atom. The value obtained for the final energy is -39.330 eV per cell.

Cell lengths 4.228, 7.941, 7.326 Å; angles 72.79, 90.00, 90.00 degrees
Each line ends with the local moment (μB).
Element x y z (fractional)
Na1 0.500 0.500 0.000  0.00
Np1 0.000 0.500 0.500  2.86
Tl1 0.000 0.000 0.000  -0.02
Tl2 0.500 0.000 0.500  -0.04
Se1 0.000 0.708 0.730  -0.16
Se2 0.000 0.292 0.270  -0.16
Se3 0.500 0.703 0.286  -0.12
Se4 0.500 0.297 0.714  -0.12

=====

Below is an optimized crystal structure of Na4Np3TlSe8, with properties calculated at the PBE-GGA level.

Its calculated volume is 437.4 Å³/cell. The uncorrected formation energy is -1083 meV/atom. The value obtained for the final energy is -91.669 eV per cell.

Cell lengths 8.585, 8.455, 8.588 Å; angles 120.52, 119.99, 90.00 degrees
Each line ends with the local moment (μB).
Element x y z (fractional)
Na1 0.500 0.000 0.000  0.00
Na2 0.500 0.000 0.500  0.00
Na3 0.000 0.000 0.000  0.00
Na4 0.000 0.000 0.500  0.00
Np1 0.500 0.500 0.000  3.63
Np2 0.500 0.500 0.500  3.63
Np3 0.000 0.500 0.500  3.63
Tl1 0.000 0.500 0.000  -0.05
Se1 0.256 0.728 0.972  -0.12
Se2 0.256 0.728 0.512  -0.12
Se3 0.257 0.270 0.513  -0.09
Se4 0.716 0.728 0.972  -0.12
Se5 0.284 0.272 0.028  -0.12
Se6 0.743 0.730 0.487  -0.09
Se7 0.744 0.272 0.488  -0.12
Se8 0.744 0.272 0.028  -0.12

=====

Below is an optimized crystal structure of Na2TmNp3Se6, with properties calculated at the PBE-GGA level.

Its calculated volume is 301.1 Å³/cell. The uncorrected formation energy is -1272 meV/atom. The value obtained for the final energy is -82.105 eV per cell.

Cell lengths 7.156, 7.156, 7.187 Å; angles 99.50, 99.50, 119.92 degrees
Each line ends with the local moment (μB).
Element x y z (fractional)
Na1 0.335 0.665 0.000  0.00
Na2 0.665 0.335 0.000  0.00
Tm1 0.000 0.000 0.000  0.18
Np1 0.171 0.829 0.500  4.19
Np2 0.829 0.171 0.500  4.19
Np3 0.500 0.500 0.500  4.19
Se1 0.917 0.593 0.752  -0.06
Se2 0.762 0.762 0.254  -0.06
Se3 0.083 0.407 0.248  -0.06
Se4 0.593 0.917 0.752  -0.06
Se5 0.238 0.238 0.746  -0.06
Se6 0.407 0.083 0.248  -0.06

=====

Below is an optimized crystal structure of NaTmNp2Se4, with properties calculated at the PBE-GGA level.

Its calculated volume is 196.6 Å³/cell. The uncorrected formation energy is -1263 meV/atom. The value obtained for the final energy is -55.716 eV per cell.

Cell lengths 4.081, 7.179, 7.113 Å; angles 109.36, 90.00, 90.00 degrees
Each line ends with the local moment (μB).
Element x y z (fractional)
Na1 0.500 0.500 0.000  0.00
Tm1 0.000 0.000 0.000  0.05
Np1 0.500 0.000 0.500  3.96
Np2 0.000 0.500 0.500  -4.05
Se1 0.500 0.246 0.243  0.02
Se2 0.500 0.754 0.757  0.02
Se3 0.000 0.244 0.753  -0.03
Se4 0.000 0.756 0.247  -0.03

=====

Below is an optimized crystal structure of Na4Tm3NpSe8, with properties calculated at the PBE-GGA level.

Its calculated volume is 413.0 Å³/cell. The uncorrected formation energy is -1562 meV/atom. The value obtained for the final energy is -84.503 eV per cell.

Cell lengths 8.257, 8.467, 8.259 Å; angles 119.23, 119.99, 90.00 degrees
Each line ends with the local moment (μB).
Element x y z (fractional)
Na1 0.500 0.000 0.000  0.00
Na2 0.500 0.000 0.500  0.00
Na3 0.000 0.000 0.000  0.00
Na4 0.000 0.000 0.500  0.00
Tm1 0.500 0.500 0.000  0.03
Tm2 0.500 0.500 0.500  0.03
Tm3 0.000 0.500 0.500  0.03
Np1 0.000 0.500 0.000  3.87
Se1 0.246 0.729 0.983  -0.02
Se2 0.246 0.728 0.493  -0.02
Se3 0.258 0.273 0.515  0.00
Se4 0.736 0.729 0.983  -0.02
Se5 0.264 0.271 0.017  -0.02
Se6 0.742 0.727 0.485  0.00
Se7 0.754 0.272 0.507  -0.02
Se8 0.754 0.271 0.017  -0.02

=====

Number 9 is which compound?
Na4Np3TlSe8